1.
## LiNbCo2 (GGA-PBE)

Data for a relaxed structure of LiNbCo2.

Cell and atoms, written as POSCAR:
```
LiNbCo2
1.0
6.392 0.000 0.000
0.000 6.392 0.000
3.196 3.196 2.642
Nb Co Li
2 4 2
Direct
0.000 0.000 0.000
0.750 0.250 0.500
0.624 0.125 0.250
0.126 0.625 0.250
0.375 0.376 0.750
0.875 0.874 0.750
0.500 0.500 0.000
0.250 0.750 0.500
```

distance to the lowest polymorph of the same formula: 1.68 eV/f.u.
ρ: 6.70 g cm⁻³
E_tot: -49.1 eV per cell
energy relative to the elements: 0.41 eV/atom

=====

2.
## K2CuPt (GGA-PBE)

Data for a relaxed structure of K2CuPt.

Cell and atoms, written as POSCAR:
```
K2CuPt
1.0
-0.919 5.129 2.690
-3.811 2.734 -3.519
-0.048 -5.127 2.845
Cu K Pt
1 2 1
Direct
0.666 0.166 0.500
0.969 0.969 0.000
0.278 0.778 0.500
0.588 0.588 0.000
```

distance to the lowest polymorph of the same formula: 0.10 eV/f.u.
ρ: 4.71 g cm⁻³
E_tot: -11.9 eV per cell
energy relative to the elements: 0.10 eV/atom